Record 1
The following is a DFT calculation (GGA-PBE) of crystalline Rb2DyAgI6 at its relaxed geometry.

Cell lengths 8.394, 8.703, 14.394 Å; angles 90.00, 125.60, 90.00 degrees
Fractional coordinates of all 20 atoms:
1 Rb 0.229 0.073 0.251
2 Rb 0.229 0.427 0.751
3 Rb 0.771 0.573 0.249
4 Rb 0.771 0.927 0.749
5 Dy 0.000 0.000 0.500
6 Dy 0.000 0.500 0.000
7 Ag 0.500 0.000 0.000
8 Ag 0.500 0.500 0.500
9 I 0.155 0.209 0.960
10 I 0.155 0.291 0.460
11 I 0.251 0.698 0.957
12 I 0.251 0.802 0.457
13 I 0.338 0.011 0.753
14 I 0.338 0.489 0.253
15 I 0.662 0.511 0.747
16 I 0.662 0.989 0.247
17 I 0.749 0.198 0.543
18 I 0.749 0.302 0.043
19 I 0.845 0.709 0.540
20 I 0.845 0.791 0.040

Output
For the volume, the calculation gives 855 Å³ per cell. As for the calculated total energy: -0.113 hartree per atom. The crystal system is monoclinic.

---

Record 2
The following is a DFT calculation (GGA-PBE) of crystalline Pm3HfO6 at its relaxed geometry.

Cell lengths 6.806, 6.806, 6.806 Å; angles 94.49, 94.49, 94.49 degrees
Fractional coordinates of all 20 atoms:
1 Pm 0.075 0.577 0.765
2 Pm 0.235 0.925 0.423
3 Pm 0.423 0.235 0.925
4 Pm 0.577 0.765 0.075
5 Pm 0.765 0.075 0.577
6 Pm 0.925 0.423 0.235
7 Hf 0.000 0.000 0.000
8 Hf 0.500 0.500 0.500
9 O 0.051 0.916 0.704
10 O 0.084 0.296 0.949
11 O 0.202 0.563 0.435
12 O 0.296 0.949 0.084
13 O 0.435 0.202 0.563
14 O 0.437 0.565 0.798
15 O 0.563 0.435 0.202
16 O 0.565 0.798 0.437
17 O 0.704 0.051 0.916
18 O 0.798 0.437 0.565
19 O 0.916 0.704 0.051
20 O 0.949 0.084 0.296

Output
As for the distance to the lowest polymorph of the same formula: 0.000 eV per formula unit. For the volume, the calculation gives 312 Å³ per cell. As for the calculated total energy: -0.320 hartree per atom. The crystal system is trigonal.